Material: Mn2FeSi
Method: DFT, GGA-PBE
State: optimized geometry

Output
- ΔE_f (raw) (kJ per mole of atoms) = -15.46
- DFT total energy (eV per cell) = -32.87

Unit cell a=2.5581 b=3.5807 c=4.9144 alpha=90.00 beta=90.00 gamma=90.00
Space group Pmmm (No. 47)
Inequivalent atoms, fractional coordinates:
Mn  0.0000  0.0000  0.2499 (multiplicity 2)
Fe  0.5000  0.5000  0.0000 (multiplicity 1)
Si  0.5000  0.5000  0.5000 (multiplicity 1)


Material: Dy3Al2Zn
Method: DFT, GGA-PBE
State: optimized geometry

Output
- E_form (eV per atom) = -0.39
- DFT total energy (eV per cell) = -24.88

Unit cell a=3.5626 b=3.5626 c=10.9282 alpha=90.00 beta=90.00 gamma=90.00
Space group P4/mmm (No. 123)
Inequivalent atoms, fractional coordinates:
Dy  0.0000  0.0000  0.0000 (multiplicity 1)
Dy  0.0000  0.0000  0.3385 (multiplicity 2)
Al  0.5000  0.5000  0.1708 (multiplicity 2)
Zn  0.5000  0.5000  0.5000 (multiplicity 1)


Material: Ba4InGa2
Method: DFT, GGA-PBE
State: optimized geometry

Output
- E_form (eV per atom) = -0.14
- DFT total energy (eV per cell) = -34.97

Unit cell a=12.2350 b=12.2350 c=4.6621 alpha=90.00 beta=90.00 gamma=90.00
Space group I4/mmm (No. 139)
Inequivalent atoms, fractional coordinates:
Ba  0.0000  0.2390  0.0000 (multiplicity 8)
In  0.0000  0.0000  0.5000 (multiplicity 2)
Ga  0.0000  0.5000  0.2500 (multiplicity 4)


Material: GaGeBiI2
Method: DFT, GGA-PBE
State: optimized geometry

Output
- ΔE_f (raw) (kJ per mole of atoms) = 34.31
- DFT total energy (eV per cell) = -12.85

Unit cell a=5.7319 b=5.7319 c=5.1658 alpha=90.00 beta=90.00 gamma=90.00
Space group P4/mmm (No. 123)
Inequivalent atoms, fractional coordinates:
Ga  0.0000  0.0000  0.0000 (multiplicity 1)
Ge  0.0000  0.0000  0.5000 (multiplicity 1)
Bi  0.5000  0.5000  0.0000 (multiplicity 1)
I  0.0000  0.5000  0.5000 (multiplicity 2)


- Which value of DFT total energy does entry 3 give?
  -34.97 eV per cell


- DFT total energy of number 1 (Mn2FeSi)?
  -32.87 eV per cell


- Look up the DFT total energy of the fourth one.
  -12.85 eV per cell


- What is the DFT total energy in the fourth record?
  -12.85 eV per cell